No. 1
Computed, not measured: a relaxed TlAgTe2Pb crystal at the PBE-GGA level of DFT.

Properties
Formation energy (no corrections), eV per atom: 0.1760
Total magnetic moment, μB/f.u.: 0.0
N(E_F), states/eV/f.u.: 2.4
DFT total energy, eV/atom: -2.8658

```
data_TlAgTe2Pb
_symmetry_space_group_name_H-M 'P 1'
_symmetry_Int_Tables_number 1
_cell_length_a 5.669
_cell_length_b 5.407
_cell_length_c 5.669
_cell_angle_alpha 90.00
_cell_angle_beta 90.00
_cell_angle_gamma 90.00
loop_
_symmetry_equiv_pos_as_xyz
'x,y,z'
loop_
_atom_site_label
_atom_site_type_symbol
_atom_site_fract_x
_atom_site_fract_y
_atom_site_fract_z
Ag1 Ag 0.000 0.000 0.000
Pb1 Pb 0.000 0.500 0.000
Tl1 Tl 0.500 0.500 0.500
Te1 Te 0.000 0.000 0.500
Te2 Te 0.500 0.000 0.000
```

No. 2
Computed, not measured: a relaxed Ba2TlMoP crystal at the PBE-GGA level of DFT.

Properties
Formation energy from the elements, kJ/mol of formula units: 76
Total magnetic moment, μB/f.u.: 0.0
N(E_F), states/eV/f.u.: 3.3
DFT total energy, eV/atom: -4.3323

```
data_Ba2TlMoP
_symmetry_space_group_name_H-M 'P 1'
_symmetry_Int_Tables_number 1
_cell_length_a 6.019
_cell_length_b 6.019
_cell_length_c 4.680
_cell_angle_alpha 90.00
_cell_angle_beta 90.00
_cell_angle_gamma 90.00
loop_
_symmetry_equiv_pos_as_xyz
'x,y,z'
loop_
_atom_site_label
_atom_site_type_symbol
_atom_site_fract_x
_atom_site_fract_y
_atom_site_fract_z
Tl1 Tl 0.500 0.500 0.500
Ba1 Ba 0.000 0.500 0.000
Ba2 Ba 0.500 0.000 0.000
Mo1 Mo 0.000 0.000 0.000
P1 P 0.000 0.000 0.500
```

No. 3
Computed, not measured: a relaxed K2InCo crystal at the PBE-GGA level of DFT.

Properties
Formation energy from the elements, kJ/mol of formula units: 276
Total magnetic moment, μB/f.u.: 1.7
N(E_F), states/eV/f.u.: 5.3
DFT total energy, eV/atom: -2.2946

```
data_K2InCo
_symmetry_space_group_name_H-M 'P 1'
_symmetry_Int_Tables_number 1
_cell_length_a 4.606
_cell_length_b 4.601
_cell_length_c 5.547
_cell_angle_alpha 90.00
_cell_angle_beta 90.00
_cell_angle_gamma 90.00
loop_
_symmetry_equiv_pos_as_xyz
'x,y,z'
loop_
_atom_site_label
_atom_site_type_symbol
_atom_site_fract_x
_atom_site_fract_y
_atom_site_fract_z
K1 K 0.000 0.000 0.000
K2 K 0.500 0.500 0.000
Co1 Co 0.500 0.000 0.500
In1 In 0.000 0.500 0.500
```

No. 4
Computed, not measured: a relaxed ZnInPb2Au6 crystal at the PBE-GGA level of DFT.

Properties
Formation energy from the elements, kJ/mol of formula units: -21
Total magnetic moment, μB/f.u.: 0.0
N(E_F), states/eV/f.u.: 3.4
DFT total energy, eV/atom: -3.1308

```
data_ZnInPb2Au6
_symmetry_space_group_name_H-M 'P 1'
_symmetry_Int_Tables_number 1
_cell_length_a 9.423
_cell_length_b 5.754
_cell_length_c 5.745
_cell_angle_alpha 60.03
_cell_angle_beta 72.12
_cell_angle_gamma 89.90
loop_
_symmetry_equiv_pos_as_xyz
'x,y,z'
loop_
_atom_site_label
_atom_site_type_symbol
_atom_site_fract_x
_atom_site_fract_y
_atom_site_fract_z
Au1 Au 0.740 0.745 0.507
Au2 Au 0.260 0.255 0.493
Au3 Au 0.259 0.751 0.996
Au4 Au 0.258 0.255 0.996
Au5 Au 0.742 0.745 0.004
Au6 Au 0.741 0.249 0.004
Zn1 Zn 0.500 0.500 0.000
In1 In 0.000 0.000 0.000
Pb1 Pb 0.589 0.196 0.608
Pb2 Pb 0.411 0.804 0.392
```

No. 5
Computed, not measured: a relaxed Si2Tc crystal at the PBE-GGA level of DFT.

Properties
Formation energy (no corrections), eV per atom: 0.1066
Total magnetic moment, μB/f.u.: 0.0
N(E_F), states/eV/f.u.: 1.0
DFT total energy, eV/atom: -6.9641

```
data_Si2Tc
_symmetry_space_group_name_H-M 'P 1'
_symmetry_Int_Tables_number 1
_cell_length_a 4.492
_cell_length_b 4.492
_cell_length_c 2.508
_cell_angle_alpha 90.04
_cell_angle_beta 90.00
_cell_angle_gamma 120.00
loop_
_symmetry_equiv_pos_as_xyz
'x,y,z'
loop_
_atom_site_label
_atom_site_type_symbol
_atom_site_fract_x
_atom_site_fract_y
_atom_site_fract_z
Tc1 Tc 0.000 0.000 0.000
Si1 Si 0.667 0.333 0.000
Si2 Si 0.333 0.667 0.000
```

No. 6
Computed, not measured: a relaxed La3YSe4 crystal at the PBE-GGA level of DFT.

Properties
Formation energy (no corrections), eV per atom: -1.9372
Total magnetic moment, μB/f.u.: 0.0
N(E_F), states/eV/f.u.: 5.6
DFT total energy, eV/atom: -6.3352

```
data_La3YSe4
_symmetry_space_group_name_H-M 'P 1'
_symmetry_Int_Tables_number 1
_cell_length_a 4.225
_cell_length_b 7.397
_cell_length_c 7.397
_cell_angle_alpha 109.11
_cell_angle_beta 90.00
_cell_angle_gamma 90.00
loop_
_symmetry_equiv_pos_as_xyz
'x,y,z'
loop_
_atom_site_label
_atom_site_type_symbol
_atom_site_fract_x
_atom_site_fract_y
_atom_site_fract_z
Y1 Y 0.500 0.000 0.000
La1 La 0.000 0.500 0.000
La2 La 0.500 0.500 0.500
La3 La 0.000 0.000 0.500
Se1 Se 0.000 0.763 0.763
Se2 Se 0.500 0.244 0.756
Se3 Se 0.500 0.756 0.244
Se4 Se 0.000 0.237 0.237
```

No. 7
Computed, not measured: a relaxed PmGdAlNi crystal at the PBE-GGA level of DFT.

Properties
Formation energy from the elements, kJ/mol of formula units: -97
Total magnetic moment, μB/f.u.: 7.1
N(E_F), states/eV/f.u.: 3.7
DFT total energy, eV/atom: -7.3395

```
data_PmGdAlNi
_symmetry_space_group_name_H-M 'P 1'
_symmetry_Int_Tables_number 1
_cell_length_a 5.067
_cell_length_b 5.067
_cell_length_c 5.067
_cell_angle_alpha 60.00
_cell_angle_beta 60.00
_cell_angle_gamma 60.00
loop_
_symmetry_equiv_pos_as_xyz
'x,y,z'
loop_
_atom_site_label
_atom_site_type_symbol
_atom_site_fract_x
_atom_site_fract_y
_atom_site_fract_z
Gd1 Gd 0.500 0.500 0.500
Al1 Al 0.750 0.750 0.750
Ni1 Ni 0.250 0.250 0.250
Pm1 Pm 0.000 0.000 0.000
```

No. 8
Computed, not measured: a relaxed LiSm3Y3Te8 crystal at the PBE-GGA level of DFT.

Properties
Formation energy (no corrections), eV per atom: -1.3645
Total magnetic moment, μB/f.u.: 0.0
N(E_F), states/eV/f.u.: 4.3
DFT total energy, eV/atom: -5.4043

```
data_LiSm3Y3Te8
_symmetry_space_group_name_H-M 'P 1'
_symmetry_Int_Tables_number 1
_cell_length_a 8.763
_cell_length_b 8.763
_cell_length_c 8.778
_cell_angle_alpha 119.95
_cell_angle_beta 90.00
_cell_angle_gamma 120.00
loop_
_symmetry_equiv_pos_as_xyz
'x,y,z'
loop_
_atom_site_label
_atom_site_type_symbol
_atom_site_fract_x
_atom_site_fract_y
_atom_site_fract_z
Y1 Y 0.000 0.500 0.500
Y2 Y 0.500 0.500 0.500
Y3 Y 0.500 0.000 0.500
Li1 Li 0.000 0.000 0.500
Sm1 Sm 0.000 0.500 0.000
Sm2 Sm 0.000 0.000 0.000
Sm3 Sm 0.500 0.500 0.000
Te1 Te 0.253 0.004 0.256
Te2 Te 0.248 0.497 0.744
Te3 Te 0.752 0.503 0.256
Te4 Te 0.752 0.004 0.256
Te5 Te 0.252 0.504 0.256
Te6 Te 0.748 0.496 0.744
Te7 Te 0.248 0.996 0.744
Te8 Te 0.747 0.996 0.744
```

Repeat the sixth record exactly.
Computed, not measured: a relaxed La3YSe4 crystal at the PBE-GGA level of DFT.

Properties
Formation energy (no corrections), eV per atom: -1.9372
Total magnetic moment, μB/f.u.: 0.0
N(E_F), states/eV/f.u.: 5.6
DFT total energy, eV/atom: -6.3352

```
data_La3YSe4
_symmetry_space_group_name_H-M 'P 1'
_symmetry_Int_Tables_number 1
_cell_length_a 4.225
_cell_length_b 7.397
_cell_length_c 7.397
_cell_angle_alpha 109.11
_cell_angle_beta 90.00
_cell_angle_gamma 90.00
loop_
_symmetry_equiv_pos_as_xyz
'x,y,z'
loop_
_atom_site_label
_atom_site_type_symbol
_atom_site_fract_x
_atom_site_fract_y
_atom_site_fract_z
Y1 Y 0.500 0.000 0.000
La1 La 0.000 0.500 0.000
La2 La 0.500 0.500 0.500
La3 La 0.000 0.000 0.500
Se1 Se 0.000 0.763 0.763
Se2 Se 0.500 0.244 0.756
Se3 Se 0.500 0.756 0.244
Se4 Se 0.000 0.237 0.237
```

What is the DFT total energy in the seventh record?
-7.3395 eV/atom

Which formula does entry 8 have?
LiSm3Y3Te8